[1]
! Tc3Au, optimized geometry, DFT PBE; values from VASP
! Size of the total moment ... 0.00 μB per formula unit
! Formation enthalpy at 0 K ... 0.1964 eV per atom
! Space-group type ... No. 123
&SYSTEM
  ibrav = 0, nat = 4, ntyp = 2
/
ATOMIC_SPECIES
Tc 98.00 Tc.upf
Au 196.97 Au.upf
CELL_PARAMETERS angstrom
2.759 0.000 0.000
0.000 2.759 0.000
0.000 0.000 8.079
ATOMIC_POSITIONS angstrom
Tc 0.000 0.000 0.000
Tc 1.380 1.380 1.862
Tc 1.380 1.380 6.217
Au 0.000 0.000 4.039



[2]
! Tc3Au2, optimized geometry, DFT PBE; values from VASP
! Size of the total moment ... 0.44 μB per formula unit
! Formation enthalpy at 0 K ... 0.2667 eV per atom
! Space-group type ... No. 166
&SYSTEM
  ibrav = 0, nat = 5, ntyp = 2
/
ATOMIC_SPECIES
Tc 98.00 Tc.upf
Au 196.97 Au.upf
CELL_PARAMETERS angstrom
1.401 0.809 11.673
-1.401 0.809 11.673
0.000 -1.618 11.673
ATOMIC_POSITIONS angstrom
Tc 0.000 0.000 0.000
Tc 0.000 0.000 6.856
Tc 0.000 0.000 28.162
Au 0.000 0.000 14.027
Au 0.000 0.000 20.991



[3]
! TcAu7, optimized geometry, DFT PBE; values from VASP
! Size of the total moment ... 2.82 μB per formula unit
! Formation enthalpy at 0 K ... 0.2540 eV per atom
! Space-group type ... No. 225
&SYSTEM
  ibrav = 0, nat = 8, ntyp = 2
/
ATOMIC_SPECIES
Tc 98.00 Tc.upf
Au 196.97 Au.upf
CELL_PARAMETERS angstrom
0.000 4.153 4.153
4.153 0.000 4.153
4.153 4.153 0.000
ATOMIC_POSITIONS angstrom
Tc 0.000 0.000 0.000
Au 2.077 2.077 0.000
Au 2.077 0.000 2.077
Au 4.153 2.077 2.077
Au 0.000 2.077 2.077
Au 2.077 4.153 2.077
Au 2.077 2.077 4.153
Au 4.153 4.153 4.153



[4]
! Tc3Au5, optimized geometry, DFT PBE; values from VASP
! Size of the total moment ... 0.00 μB per formula unit
! Formation enthalpy at 0 K ... 0.4031 eV per atom
! Space-group type ... No. 2
! Distance to the lowest polymorph of the same formula ... 0.000 eV per atom
&SYSTEM
  ibrav = 0, nat = 16, ntyp = 2
/
ATOMIC_SPECIES
Tc 98.00 Tc.upf
Au 196.97 Au.upf
CELL_PARAMETERS angstrom
4.979 0.000 0.000
1.703 6.815 0.000
1.176 -0.038 8.261
ATOMIC_POSITIONS angstrom
Tc 1.192 0.932 4.113
Tc 3.986 6.278 7.956
Tc 3.900 3.593 7.382
Tc 3.958 3.183 0.878
Tc 3.872 0.499 0.305
Tc 6.665 5.844 4.147
Au 1.440 4.713 1.408
Au 1.396 1.793 1.351
Au 2.689 3.304 4.708
Au 4.169 5.575 5.335
Au 3.913 5.753 2.233
Au 3.945 1.023 6.028
Au 3.689 1.201 2.926
Au 5.168 3.473 3.553
Au 6.462 4.983 6.910
Au 6.418 2.063 6.853



Q: What is the formula in the fourth record?
A: Tc3Au5



Q: What is the formula in the third record?
A: TcAu7